(1)
An optimized crystal structure of DyNp2UN4. Source: the Alexandria database, functional PBE.

Unit cell a=5.9762 b=3.4456 c=5.9837 alpha=90.00 beta=109.40 gamma=90.00
Positions (direct):
Dy 0.0000 0.0000 0.0000
Np 0.5000 0.0000 0.5000
Np 0.5000 0.5000 0.0000
U 0.0000 0.5000 0.5000
N 0.2433 0.0000 0.7430
N 0.2507 0.5000 0.2590
N 0.7493 0.5000 0.7410
N 0.7567 0.0000 0.2570

Properties
The space-group type is P2/m, No. 10. For the formation energy (no corrections), the calculation gives -1300 meV/atom.

(2)
An optimized crystal structure of CdNiTe2I. Source: the Alexandria database, functional PBE.

Unit cell a=5.1344 b=5.1344 c=5.3408 alpha=90.00 beta=90.00 gamma=90.00
Positions (direct):
Cd 0.0000 0.0000 0.0000
Ni 0.5000 0.5000 0.5000
Te 0.0000 0.5000 0.5000
Te 0.5000 0.0000 0.5000
I 0.5000 0.5000 0.0000

Properties
The space-group type is P4/mmm, No. 123. For the formation energy (no corrections), the calculation gives 244 meV/atom. The offset from the most stable computed form comes out at 0 meV/atom.

(3)
An optimized crystal structure of Zr5Ga6. Source: the Alexandria database, functional PBE.

Unit cell a=14.0829 b=14.0829 c=3.8678 alpha=90.00 beta=90.00 gamma=164.04
Positions (direct):
Zr 0.0000 0.0000 0.0000
Zr 0.1963 0.8037 0.5000
Zr 0.3806 0.6194 0.0000
Zr 0.6194 0.3806 0.0000
Zr 0.8037 0.1963 0.5000
Ga 0.0956 0.9044 0.5000
Ga 0.2796 0.7204 0.0000
Ga 0.4577 0.5423 0.5000
Ga 0.5423 0.4577 0.5000
Ga 0.7204 0.2796 0.0000
Ga 0.9044 0.0956 0.5000

Properties
Its energy relative to the elements is -0.591 eV/atom. The space-group type is Cmmm, No. 65. The offset from the most stable computed form comes out at 0 meV/atom.

(4)
An optimized crystal structure of Sr2InBr2O2. Source: the Alexandria database, functional PBE.

Unit cell a=4.4535 b=4.4535 c=16.4140 alpha=90.00 beta=90.00 gamma=90.00
Positions (direct):
Sr 0.0000 0.0000 0.1038
Sr 0.0000 0.0000 0.8962
Sr 0.5000 0.5000 0.3962
Sr 0.5000 0.5000 0.6038
In 0.0000 0.0000 0.5000
In 0.5000 0.5000 0.0000
Br 0.0000 0.0000 0.3108
Br 0.0000 0.0000 0.6892
Br 0.5000 0.5000 0.1892
Br 0.5000 0.5000 0.8108
O 0.0000 0.5000 0.0000
O 0.0000 0.5000 0.5000
O 0.5000 0.0000 0.0000
O 0.5000 0.0000 0.5000

Properties
The space-group type is I4/mmm, No. 139. For the formation energy (no corrections), the calculation gives -1890 meV/atom.

(5)
An optimized crystal structure of Li2Mg4Sn. Source: the Alexandria database, functional PBE.

Unit cell a=5.4224 b=5.4224 c=14.5402 alpha=90.00 beta=90.00 gamma=90.00
Positions (direct):
Li 0.0000 0.0000 0.1030
Li 0.0000 0.0000 0.8970
Li 0.5000 0.5000 0.3970
Li 0.5000 0.5000 0.6030
Mg 0.0000 0.0000 0.2982
Mg 0.0000 0.0000 0.7018
Mg 0.0000 0.5000 0.0000
Mg 0.0000 0.5000 0.5000
Mg 0.5000 0.0000 0.0000
Mg 0.5000 0.0000 0.5000
Mg 0.5000 0.5000 0.2018
Mg 0.5000 0.5000 0.7982
Sn 0.0000 0.0000 0.5000
Sn 0.5000 0.5000 0.0000

Properties
Its energy relative to the elements is 0.314 eV/atom. The space-group type is I4/mmm, No. 139.

(6)
An optimized crystal structure of TlHgTeW2. Source: the Alexandria database, functional PBE.

Unit cell a=5.1481 b=5.1481 c=5.5309 alpha=90.00 beta=90.00 gamma=90.00
Positions (direct):
Tl 0.0000 0.0000 0.0000
Hg 0.5000 0.5000 0.5000
Te 0.0000 0.0000 0.5000
W 0.0000 0.5000 0.0000
W 0.5000 0.0000 0.0000

Properties
The space-group type is P4/mmm, No. 123. For the formation energy (no corrections), the calculation gives 2719 meV/atom. The offset from the most stable computed form comes out at 663 meV/atom.

Final energy, record by record: -85.474; -13.308; -67.406; -32.595; -12.011; -18.123 eV/f.u.